<one>
Compound: FeCuRu
Source: Alexandria
Functional: PBE-GGA
Structure: optimized geometry

Geometry as CIF:
```
data_FeCuRu
_chemical_formula_sum 'Fe2 Cu2 Ru2'
_cell_length_a 2.612
_cell_length_b 3.681
_cell_length_c 7.833
_cell_angle_alpha 90.00
_cell_angle_beta 90.00
_cell_angle_gamma 90.00
_symmetry_space_group_name_H-M 'I m m 2'
_symmetry_Int_Tables_number 44
_symmetry_space_group_name_Hall 'I 2 -2'
loop_
_atom_site_label
_atom_site_type_symbol
_atom_site_fract_x
_atom_site_fract_y
_atom_site_fract_z
_atom_site_occupancy
Fe1 Fe 0.000 0.000 0.000 1
Cu1 Cu 0.000 0.000 0.334 1
Ru1 Ru 0.000 0.000 0.663 1
```



<two>
Compound: FeCuRu
Source: Alexandria
Functional: PBE-GGA
Structure: optimized geometry

Geometry as CIF:
```
data_FeCuRu
_chemical_formula_sum 'Fe4 Cu4 Ru4'
_cell_length_a 5.509
_cell_length_b 5.509
_cell_length_c 5.509
_cell_angle_alpha 90.00
_cell_angle_beta 90.00
_cell_angle_gamma 90.00
_symmetry_space_group_name_H-M 'F -4 3 m'
_symmetry_Int_Tables_number 216
_symmetry_space_group_name_Hall 'F -4 2 3'
loop_
_atom_site_label
_atom_site_type_symbol
_atom_site_fract_x
_atom_site_fract_y
_atom_site_fract_z
_atom_site_occupancy
Fe1 Fe 0.000 0.000 0.000 1
Cu1 Cu 0.250 0.250 0.750 1
Ru1 Ru 0.250 0.250 0.250 1
```



Going by the computed energies, the most stable comes first: <one>, <two>.